w:
LiAgOs2 after structural relaxation, computed with GGA-PBE.

Cell and atoms, written as POSCAR:
```
LiAgOs2
1.0
5.1918 -1.3473 0.0000
5.1918 1.3473 0.0000
-0.5114 0.0000 4.3697
Li Ag Os
1 1 2
direct
0.0000 0.0000 0.0000 Li
0.5000 0.5000 0.5000 Ag
0.2231 0.2231 0.7468 Os
0.7769 0.7769 0.2532 Os
```

## Properties
Its space group is C2/m. The density of states at the Fermi level comes out at 1.236 states/eV/f.u.

x:
LiAgOs2 after structural relaxation, computed with GGA-PBE.

Cell and atoms, written as POSCAR:
```
LiAgOs2
1.0
2.4994 -4.5129 0.0000
2.4994 4.5129 0.0000
0.0000 0.0000 2.6700
Li Ag Os
1 1 2
direct
0.0000 0.0000 0.0000 Li
0.5000 0.5000 0.0000 Ag
0.0000 0.5000 0.5000 Os
0.5000 0.0000 0.5000 Os
```

## Properties
Its space group is Cmmm. The density of states at the Fermi level comes out at 3.448 states/eV/f.u.

Which of them is the most stable? Correct choice: w.

w:
LiAg3Os after structural relaxation, computed with GGA-PBE.

Cell and atoms, written as POSCAR:
```
LiAg3Os
1.0
4.3311 0.0000 0.0000
0.0000 4.3311 0.0000
0.0000 0.0000 4.3311
Li Ag Os
1 3 1
direct
0.0000 0.0000 0.0000 Li
0.0000 0.0000 0.5000 Ag
0.0000 0.5000 0.0000 Ag
0.5000 0.0000 0.0000 Ag
0.5000 0.5000 0.5000 Os
```

## Properties
Its space group is Pm-3m. The density of states at the Fermi level comes out at 2.870 states/eV/f.u.

x:
LiAg3Os after structural relaxation, computed with GGA-PBE.

Cell and atoms, written as POSCAR:
```
LiAg3Os
1.0
5.1256 0.0000 0.0000
0.0000 5.1256 0.0000
0.0000 0.0000 5.1256
Li Ag Os
1 3 1
direct
0.0000 0.0000 0.0000 Li
0.0000 0.5000 0.5000 Ag
0.5000 0.0000 0.5000 Ag
0.5000 0.5000 0.0000 Ag
0.5000 0.5000 0.5000 Os
```

## Properties
Its space group is Pm-3m. The density of states at the Fermi level comes out at 2.292 states/eV/f.u.

Which of them is the most stable? Correct choice: w.

w:
LiAg2P after structural relaxation, computed with GGA-PBE.

Cell and atoms, written as POSCAR:
```
LiAg2P
1.0
4.3234 -1.4695 0.0000
4.3234 1.4695 0.0000
-0.8207 0.0000 5.1792
Li Ag P
1 2 1
direct
0.0000 0.0000 0.0000 Li
0.5152 0.5152 0.5545 Ag
0.7610 0.7610 0.2542 Ag
0.2581 0.2581 0.8129 P
```

## Properties
Its space group is Cm. The density of states at the Fermi level comes out at 0.566 states/eV/f.u.

x:
LiAg2P after structural relaxation, computed with GGA-PBE.

Cell and atoms, written as POSCAR:
```
LiAg2P
1.0
4.4873 -1.4941 0.0000
4.4873 1.4941 0.0000
-0.7456 0.0000 4.8450
Li Ag P
1 2 1
direct
0.0000 0.0000 0.0000 Li
0.2441 0.2441 0.7495 Ag
0.7559 0.7559 0.2505 Ag
0.5000 0.5000 0.5000 P
```

## Properties
Its space group is C2/m. The density of states at the Fermi level comes out at 1.009 states/eV/f.u.

Which of them is the most stable? Correct choice: x.

w:
LiAg2P after structural relaxation, computed with GGA-PBE.

Cell and atoms, written as POSCAR:
```
LiAg2P
1.0
2.9073 0.0000 0.0000
0.0000 3.9669 0.0000
0.0000 0.0000 5.6471
Li Ag P
1 2 1
direct
0.0000 0.0000 0.0000 Li
0.5000 0.5000 0.2481 Ag
0.5000 0.5000 0.7519 Ag
0.0000 0.0000 0.5000 P
```

## Properties
Its space group is Pmmm. The density of states at the Fermi level comes out at 2.216 states/eV/f.u.

x:
LiAg2P after structural relaxation, computed with GGA-PBE.

Cell and atoms, written as POSCAR:
```
LiAg2P
1.0
-2.0461 2.0461 3.8657
2.0461 -2.0461 3.8657
2.0461 2.0461 -3.8657
Li Ag P
1 2 1
direct
0.0000 0.0000 0.0000 Li
0.2500 0.7500 0.5000 Ag
0.5000 0.5000 0.0000 Ag
0.7500 0.2500 0.5000 P
```

## Properties
Its space group is I-4m2. The density of states at the Fermi level comes out at 0.593 states/eV/f.u.

y:
LiAg2P after structural relaxation, computed with GGA-PBE.

Cell and atoms, written as POSCAR:
```
LiAg2P
1.0
2.9482 0.0000 0.0000
0.0000 3.9598 0.0000
0.0000 0.0000 5.5327
Li Ag P
1 2 1
direct
0.0000 0.0000 0.0000 Li
0.0000 0.0000 0.4696 Ag
0.5000 0.5000 0.7475 Ag
0.5000 0.5000 0.2192 P
```

## Properties
Its space group is Pmm2. The density of states at the Fermi level comes out at 1.821 states/eV/f.u.

z:
LiAg2P after structural relaxation, computed with GGA-PBE.

Cell and atoms, written as POSCAR:
```
LiAg2P
1.0
2.9125 0.0000 0.0000
0.0000 2.9125 0.0000
0.0000 0.0000 7.6617
Li Ag P
1 2 1
direct
0.0000 0.0000 0.0000 Li
0.0000 0.0000 0.4619 Ag
0.5000 0.5000 0.7385 Ag
0.5000 0.5000 0.2089 P
```

## Properties
Its space group is P4mm. The density of states at the Fermi level comes out at 0.975 states/eV/f.u.

Which of them is the most stable? Correct choice: x.

w:
LiAg2P after structural relaxation, computed with GGA-PBE.

Cell and atoms, written as POSCAR:
```
LiAg2P
1.0
1.4770 0.8527 8.8768
-1.4770 0.8527 8.8768
0.0000 -1.7055 8.8768
Li Ag P
1 2 1
direct
0.0000 0.0000 0.0000 Li
0.2487 0.2487 0.2487 Ag
0.7513 0.7513 0.7513 Ag
0.5000 0.5000 0.5000 P
```

## Properties
Its space group is R-3m. The density of states at the Fermi level comes out at 3.085 states/eV/f.u.

x:
LiAg2P after structural relaxation, computed with GGA-PBE.

Cell and atoms, written as POSCAR:
```
LiAg2P
1.0
-2.0886 2.0886 3.6580
2.0886 -2.0886 3.6580
2.0886 2.0886 -3.6580
Li Ag P
1 2 1
direct
0.0000 0.0000 0.0000 Li
0.2500 0.7500 0.5000 Ag
0.7500 0.2500 0.5000 Ag
0.5000 0.5000 0.0000 P
```

## Properties
Its space group is I4/mmm. The density of states at the Fermi level comes out at 0.534 states/eV/f.u.

Which of them is the most stable? Correct choice: x.

w:
LiAg3P after structural relaxation, computed with GGA-PBE.

Cell and atoms, written as POSCAR:
```
LiAg3P
1.0
4.7722 0.0000 0.0000
0.0000 4.7722 0.0000
0.0000 0.0000 4.7722
Li Ag P
1 3 1
direct
0.0000 0.0000 0.0000 Li
0.0000 0.5000 0.5000 Ag
0.5000 0.0000 0.5000 Ag
0.5000 0.5000 0.0000 Ag
0.5000 0.5000 0.5000 P
```

## Properties
Its space group is Pm-3m. The density of states at the Fermi level comes out at 1.882 states/eV/f.u.

x:
LiAg3P after structural relaxation, computed with GGA-PBE.

Cell and atoms, written as POSCAR:
```
LiAg3P
1.0
4.4883 0.0000 0.0000
0.0000 4.4883 0.0000
0.0000 0.0000 4.4883
Li Ag P
1 3 1
direct
0.0000 0.0000 0.0000 Li
0.0000 0.0000 0.5000 Ag
0.0000 0.5000 0.0000 Ag
0.5000 0.0000 0.0000 Ag
0.5000 0.5000 0.5000 P
```

## Properties
Its space group is Pm-3m. The density of states at the Fermi level comes out at 2.078 states/eV/f.u.

Which of them is the most stable? Correct choice: w.